A relaxed NdGeBO5 crystal, computed with PBE-GGA.

Cell and atoms, written as extended XYZ:
```
32
Lattice="7.6845 0.0000 0.0000 0.0000 5.0122 -0.0039 0.0000 0.3358 10.1437" Properties=species:S:1:pos:R:3 pbc="T T T"
O 6.8854 1.3939 1.9300
B 4.5876 2.9515 6.7956
B 3.0968 2.3965 3.3442
O 5.4952 3.4953 5.7269
Ge 2.0347 2.6805 0.7656
Nd 6.8580 5.2067 6.8878
B 0.7454 2.5645 8.4160
O 2.1893 1.8527 4.4129
Ge 1.8076 2.8484 5.8374
Ge 5.8769 2.4997 4.3024
Nd 4.6687 5.0388 1.8160
O 6.4508 3.6173 3.0023
O 5.0759 3.7852 8.0741
Nd 0.8265 0.1414 3.2520
O 2.6086 1.5628 2.0656
Ge 5.6498 2.6676 9.3742
O 0.6961 4.0848 5.3491
O 0.6003 3.4075 1.5258
O 7.0842 1.9405 8.6140
O 3.0431 3.7863 3.1379
O 6.9884 1.2633 4.7907
O 1.6529 2.0206 9.4847
B 6.9391 2.7836 1.7238
O 1.2337 1.7307 7.1375
O 4.4425 1.7726 3.5422
O 3.2420 3.5754 6.5976
O 0.7991 3.9542 8.2098
O 4.5383 1.4312 9.8625
O 3.1462 3.9169 0.2773
O 6.0316 3.3274 0.6551
O 4.6413 1.5618 7.0019
Nd 3.0158 0.3093 8.3238
```

Results
calculated volume = 390.71 Å³/cell
energy = -244.6 eV per cell

=====

A relaxed Tl6Hg2S3 crystal, computed with PBE-GGA.

Cell and atoms, written as extended XYZ:
```
11
Lattice="-5.5972 2.9837 3.7205 0.6157 1.1878 7.2406 1.1306 8.6189 -0.2305" Properties=species:S:1:pos:R:3 pbc="T T T"
Tl -3.1679 9.1225 2.5258
Tl -2.9193 3.8979 4.5627
S -3.3668 2.7851 7.2353
S -1.6147 1.3864 3.7258
Hg -3.9139 7.1936 5.3670
Tl 0.7005 7.5046 2.4694
Tl -1.2987 2.4801 0.9643
S 0.0000 0.0000 0.0000
Tl -4.5513 5.2858 8.2613
Hg 0.0630 5.5968 5.3637
Tl -0.9315 8.8925 6.1680
```

Results
calculated volume = 390.43 Å³/cell
energy = -30.1 eV per cell

=====

A relaxed Sr2SnHg10 crystal, computed with PBE-GGA.

Cell and atoms, written as extended XYZ:
```
26
Lattice="-1.9124 1.0988 5.5818 -7.9117 -10.6765 -0.6089 7.9676 -6.1288 3.9363" Properties=species:S:1:pos:R:3 pbc="T T T"
Hg -0.8129 -4.7878 5.4120
Hg 0.4393 -13.5812 2.8241
Hg -6.8246 -8.5447 4.0919
Sn -7.9116 -10.6765 -0.6089
Hg -2.7426 -12.6060 1.5420
Hg 5.5000 -4.7575 2.8209
Hg 2.7986 -4.1992 1.7855
Hg 4.7585 -9.9948 3.5979
Sr -0.3225 -1.4369 3.3990
Hg -1.0435 -10.9186 3.4972
Hg -2.9105 -9.6613 0.9047
Hg 2.9665 -7.1440 2.4227
Hg -0.3834 -3.2241 0.5033
Sr -2.9769 -7.7763 3.7376
Hg 4.9682 -7.1618 4.8173
Hg -1.9452 -10.4005 6.1290
Hg -4.7025 -6.8104 -0.2704
Hg -5.4441 -12.0478 0.5065
Hg 0.0888 -5.3059 2.7802
Sn 0.0280 -8.4026 1.6637
Hg -1.9423 -6.3602 0.5866
Sr 1.1204 -7.9302 5.1716
Hg -5.9229 -9.0628 1.4601
Hg 1.9983 -10.4450 2.7408
Sr -1.5340 -14.2695 5.5102
Hg 4.0665 -6.6437 7.4491
```

Results
E_form = -125 meV per atom
calculated volume = 861.87 Å³/cell
energy = -24.0 eV per cell

=====

A relaxed Nd2Be2Pd5 crystal, computed with PBE-GGA.

Cell and atoms, written as extended XYZ:
```
9
Lattice="4.1069 0.0000 0.0000 0.0000 4.1069 0.0000 0.0000 0.0000 9.2275" Properties=species:S:1:pos:R:3 pbc="T T T"
Pd 2.0534 2.0534 4.6137
Pd 2.0534 0.0000 2.3773
Pd 0.0000 2.0534 6.8502
Be 2.0534 2.0534 7.9469
Pd 2.0534 0.0000 6.8502
Be 2.0534 2.0534 1.2806
Nd 0.0000 0.0000 0.0000
Pd 0.0000 2.0534 2.3773
Nd 0.0000 0.0000 4.6137
```

Results
E_form = -663 meV per atom
calculated volume = 155.63 Å³/cell
energy = -48.9 eV per cell

=====

A relaxed LaMg9Hg2 crystal, computed with PBE-GGA.

Cell and atoms, written as extended XYZ:
```
24
Lattice="7.0240 0.0000 3.2337 3.5120 8.5594 1.6168 -0.0675 0.0000 9.3918" Properties=species:S:1:pos:R:3 pbc="T T T"
Mg 4.4630 3.6031 9.8081
Mg 8.0789 7.0429 9.1756
Mg 1.6208 1.5164 4.7128
Mg 6.9902 4.2797 7.9296
Mg 2.3558 5.7961 9.7626
Mg 4.6007 5.7961 2.8629
La 3.5120 0.0000 1.6168
Mg 7.2063 4.9562 11.0711
Mg 3.2284 7.8828 7.8672
Mg 6.7741 4.9562 4.7881
Mg 5.3694 2.7632 3.2168
Mg 3.7281 7.8828 4.7583
Hg 7.0071 2.1398 5.5817
Mg 5.9015 7.0429 6.6836
La 3.4782 4.2797 6.3128
Hg 5.2174 6.4195 9.4691
Mg 1.5871 2.7632 9.4088
Hg 6.9734 2.1398 10.2776
Hg 8.7631 6.4195 6.3901
Mg 0.0000 0.0000 0.0000
Mg 4.4967 0.6765 5.1122
Mg 5.3357 1.5164 7.9127
Mg 2.4935 3.6031 2.8174
Mg 2.4597 0.6765 7.5133
```

Results
E_form = -164 meV per atom
calculated volume = 566.51 Å³/cell
energy = -43.7 eV per cell

=====

A relaxed Ac4Pr4Ho crystal, computed with PBE-GGA.

Cell and atoms, written as extended XYZ:
```
9
Lattice="5.1166 0.0000 1.7328 2.5583 8.0954 0.8664 -0.0384 0.0000 8.5340" Properties=species:S:1:pos:R:3 pbc="T T T"
Ac 5.1166 5.4135 1.7329
Pr 5.9520 2.7241 7.6867
Pr 4.2428 2.7241 4.3130
Ho 0.0000 0.0000 0.0000
Pr 3.3937 5.3713 6.8202
Ac 2.5200 2.6819 9.4003
Ac 1.6981 0.0001 3.4066
Pr 1.6845 5.3713 3.4465
Ac 5.9385 8.0953 7.7266
```

Results
E_form = 36 meV per atom
calculated volume = 354.03 Å³/cell
energy = -39.8 eV per cell

=====

A relaxed Dy4Y3TmSe8 crystal, computed with PBE-GGA.

Cell and atoms, written as extended XYZ:
```
16
Lattice="-3.0664 7.1905 2.2843 -5.8380 -3.8251 4.2038 7.8332 -1.7227 1.4205" Properties=species:S:1:pos:R:3 pbc="T T T"
Y -0.5356 0.8214 3.9543
Se -6.6734 2.5487 4.8679
Dy 3.9166 -0.8614 0.7103
Dy -1.5332 3.5953 1.1421
Tm -2.9190 -1.9125 2.1019
Dy 2.3834 2.7339 1.8524
Dy 0.0000 0.0000 0.0000
Se -2.7638 1.6597 5.5831
Se 5.6021 -0.9059 3.0406
Se -1.2469 -1.9353 4.4183
Se -5.1248 -1.0826 3.7144
Se 4.0535 2.7253 4.1942
Y 0.9976 -2.7739 2.8121
Se 0.1756 3.5781 3.4902
Y -4.4522 1.6827 3.2440
Se 1.6925 -0.0170 2.3255
```

Results
calculated volume = 382.28 Å³/cell
energy = -98.0 eV per cell

=====

A relaxed Tm2GeRh crystal, computed with PBE-GGA.

Cell and atoms, written as extended XYZ:
```
8
Lattice="4.1444 0.0000 0.0000 0.0000 5.7100 -0.0529 0.0000 -2.9170 7.3051" Properties=species:S:1:pos:R:3 pbc="T T T"
Tm 1.0361 2.8609 4.0556
Tm 3.1083 -1.3582 6.6447
Ge 1.0361 1.2724 1.4676
Rh 1.0361 -0.0519 5.1763
Ge 3.1083 1.5206 5.7846
Rh 3.1083 2.8449 2.0759
Tm 3.1083 -0.0680 3.1966
Tm 1.0361 4.1512 0.6075
```

Results
E_form = -887 meV per atom
calculated volume = 172.23 Å³/cell
energy = -48.9 eV per cell

=====

A relaxed Ho2AsPb crystal, computed with PBE-GGA.

Cell and atoms, written as extended XYZ:
```
4
Lattice="3.9590 0.0000 0.0000 1.9795 3.4286 0.0000 1.9795 1.1429 8.0987" Properties=species:S:1:pos:R:3 pbc="T T T"
As 5.9385 3.4286 8.0788
Ho 1.9795 1.1429 1.6492
Pb 3.9590 2.2857 4.0615
Ho 1.9795 1.1429 6.4572
```

Results
ΔE to the lowest computed polymorph = 46.6 meV per atom
E_form = -929 meV per atom
calculated volume = 109.93 Å³/cell
energy = -21.2 eV per cell

=====

A relaxed CdAg6Au5 crystal, computed with PBE-GGA.

Cell and atoms, written as extended XYZ:
```
12
Lattice="-4.1150 -0.8396 0.1428 -0.7485 -6.2314 1.7322 -0.1816 2.2601 8.0521" Properties=species:S:1:pos:R:3 pbc="T T T"
Au -3.3331 -3.5882 5.2773
Ag -2.1035 0.1516 2.1072
Ag -1.3226 -2.5946 7.1979
Ag -1.2326 -3.7150 3.2061
Ag -3.8125 -1.0958 6.7211
Cd 0.0000 0.0000 0.0000
Au -1.7120 -1.2226 4.6499
Au -0.0908 1.1301 4.0260
Au -1.6177 -2.3573 0.6252
Ag -3.7226 -2.2163 2.7292
Ag -2.1932 1.2689 6.0877
Au -3.2458 -4.7137 1.2499
```

Results
ΔE to the lowest computed polymorph = 0.0 meV per atom
E_form = -65 meV per atom
calculated volume = 217.38 Å³/cell
energy = -35.2 eV per cell

=====

A relaxed LiP4Pb crystal, computed with PBE-GGA.

Cell and atoms, written as extended XYZ:
```
6
Lattice="0.0000 3.8325 3.8325 3.8325 0.0000 3.8325 3.8325 3.8325 0.0000" Properties=species:S:1:pos:R:3 pbc="T T T"
Pb 5.7488 5.7488 5.7488
Li 0.0000 0.0000 0.0000
P 2.7820 2.7820 2.7820
P 2.7820 4.8830 4.8830
P 4.8830 2.7820 4.8830
P 4.8830 4.8830 2.7820
```

Results
E_form = 298 meV per atom
calculated volume = 112.59 Å³/cell
energy = -25.5 eV per cell

=====

A relaxed YMoP2 crystal, computed with PBE-GGA.

Cell and atoms, written as extended XYZ:
```
4
Lattice="6.7643 0.0054 -0.0027 5.0579 4.4914 0.0027 -5.8707 -2.3547 2.3971" Properties=species:S:1:pos:R:3 pbc="T T T"
Mo 3.9562 0.1602 1.1972
P 11.0709 4.2110 0.0000
Y 6.4503 2.4535 0.0000
P 2.2074 2.0626 1.1999
```

Results
ΔE to the lowest computed polymorph = 35.7 meV per atom
E_form = -767 meV per atom
calculated volume = 72.76 Å³/cell
energy = -31.2 eV per cell